# 1
Below is an optimized crystal structure of Zr2TaIn, with properties calculated at the PBE level.

The value obtained for the calculated total energy is -7.82 eV/atom. The space-group type is No. 216.

The structure in extended XYZ format:
```
4
Lattice="0.0000 3.4746 3.4746 3.4746 0.0000 3.4746 3.4746 3.4746 0.0000" Properties=species:S:1:pos:R:3 pbc="T T T"
Zr 0.0000 0.0000 0.0000
Zr 1.7373 1.7373 1.7373
Ta 5.2118 5.2118 5.2118
In 3.4746 3.4746 3.4746
```

# 2
Below is an optimized crystal structure of Tb5In4, with properties calculated at the PBE level.

The value obtained for the calculated total energy is -4.23 eV/atom. The space-group type is No. 193.

The structure in extended XYZ format:
```
18
Lattice="9.3400 0.0000 0.0000 -4.6700 8.0887 0.0000 0.0000 0.0000 6.6381" Properties=species:S:1:pos:R:3 pbc="T T T"
Tb -1.3579 2.3520 1.6595
Tb -3.3121 5.7367 4.9786
Tb 2.7158 0.0000 1.6595
Tb 1.3579 2.3520 4.9786
Tb 0.0000 5.3924 0.0000
Tb 0.0000 5.3924 3.3191
Tb 4.6700 2.6962 0.0000
Tb 4.6700 2.6962 3.3191
Tb 6.6242 0.0000 4.9786
Tb 3.3121 5.7367 1.6595
In 0.0000 0.0000 0.0000
In 0.0000 0.0000 3.3191
In -1.7314 2.9989 4.9786
In -2.9386 5.0898 1.6595
In 3.4628 0.0000 4.9786
In 1.7314 2.9989 1.6595
In 5.8772 0.0000 1.6595
In 2.9386 5.0898 4.9786
```

# 3
Below is an optimized crystal structure of Tb2In, with properties calculated at the PBE level.

The value obtained for the calculated total energy is -3.87 eV/atom. The space-group type is No. 227.

The structure in extended XYZ format:
```
6
Lattice="0.0000 4.4496 4.4496 4.4496 0.0000 4.4496 4.4496 4.4496 0.0000" Properties=species:S:1:pos:R:3 pbc="T T T"
Tb 0.0000 0.0000 0.0000
Tb 2.2248 2.2248 0.0000
Tb 2.2248 0.0000 2.2248
Tb 0.0000 2.2248 2.2248
In 3.3372 3.3372 3.3372
In 5.5620 5.5620 5.5620
```

# 4
Below is an optimized crystal structure of Tb2In, with properties calculated at the PBE level.

The value obtained for the calculated total energy is -2.51 eV/atom. The space-group type is No. 227.

The structure in extended XYZ format:
```
6
Lattice="0.0000 6.6414 6.6414 6.6414 0.0000 6.6414 6.6414 6.6414 0.0000" Properties=species:S:1:pos:R:3 pbc="T T T"
Tb 0.0000 0.0000 0.0000
Tb 3.3207 3.3207 0.0000
Tb 3.3207 0.0000 3.3207
Tb 0.0000 3.3207 3.3207
In 1.6604 1.6604 1.6604
In 11.6225 11.6225 11.6225
```

# 5
Below is an optimized crystal structure of Tb5In3, with properties calculated at the PBE level.

The value obtained for the calculated total energy is -4.32 eV/atom. The space-group type is No. 140.

The structure in extended XYZ format:
```
16
Lattice="-6.1500 6.1500 3.0033 6.1500 -6.1500 3.0033 6.1500 6.1500 -3.0033" Properties=species:S:1:pos:R:3 pbc="T T T"
Tb 9.5955 1.0212 0.0000
Tb 1.0212 2.7045 0.0000
Tb 6.1500 0.0000 1.5017
Tb 7.1712 3.4455 0.0000
Tb 3.4455 5.1288 0.0000
Tb 2.7045 1.0212 3.0033
Tb -1.0212 2.7045 3.0033
Tb 0.0000 6.1500 1.5017
Tb 5.1288 3.4455 3.0033
Tb -3.4455 5.1288 3.0033
In 4.1597 1.9903 0.0000
In 0.0000 0.0000 1.5017
In 4.1597 -1.9903 3.0033
In 1.9903 8.1402 0.0000
In 0.0000 0.0000 4.5050
In 1.9903 4.1597 3.0033
```

# 6
Below is an optimized crystal structure of Tb2In, with properties calculated at the PBE level.

The value obtained for the calculated total energy is -4.32 eV/atom. The space-group type is No. 189.

The structure in extended XYZ format:
```
9
Lattice="8.9483 0.0000 0.0000 -4.4741 7.7494 0.0000 0.0000 0.0000 3.7162" Properties=species:S:1:pos:R:3 pbc="T T T"
Tb -1.6930 2.9323 0.0000
Tb -3.1752 5.4996 1.8581
Tb 1.2989 2.2498 1.8581
Tb 3.3859 0.0000 0.0000
Tb 2.7812 4.8171 0.0000
Tb 6.3504 0.0000 1.8581
In 0.0000 0.0000 0.0000
In 0.0000 5.1663 1.8581
In 4.4741 2.5831 1.8581
```